# Co3Re

Co3Re after structural relaxation (PBE, the Alexandria database).

Cell and atoms, written as POSCAR:
```
Co3Re
1.0
4.065 0.000 0.000
2.032 3.520 0.000
2.032 1.173 3.319
Co Re
3 1
Direct
0.000 0.000 0.000
0.500 0.500 0.500
0.750 0.750 0.750
0.250 0.250 0.250
```

Computed properties:
Formation enthalpy at 0 K ... 1.01 eV per formula unit
Theoretical density ... 12.694 Mg/m³

=====

# CoRe2

CoRe2 after structural relaxation (PBE, the Alexandria database).

Cell and atoms, written as POSCAR:
```
CoRe2
1.0
7.236 0.000 0.000
-3.618 6.266 0.000
0.000 0.000 2.674
Co Re
3 6
Direct
0.000 0.000 0.500
0.333 0.667 0.000
0.667 0.333 0.000
0.000 0.300 0.000
0.000 0.632 0.500
0.300 0.000 0.000
0.700 0.700 0.000
0.632 0.000 0.500
0.368 0.368 0.500
```

Computed properties:
Energy above the most stable polymorph in this dataset ... 26 meV/atom
Formation enthalpy at 0 K ... 0.01 eV per formula unit
Theoretical density ... 17.725 Mg/m³

=====

# Co3Re

Co3Re after structural relaxation (PBE, the Alexandria database).

Cell and atoms, written as POSCAR:
```
Co3Re
1.0
2.580 0.000 0.000
0.000 4.088 0.000
0.000 0.000 4.443
Re Co
1 3
Direct
0.000 0.500 0.330
0.000 0.000 0.993
0.500 0.000 0.509
0.500 0.500 0.835
```

Computed properties:
Formation enthalpy at 0 K ... 0.23 eV per formula unit
Theoretical density ... 12.862 Mg/m³

=====

# CoRe4

CoRe4 after structural relaxation (PBE, the Alexandria database).

Cell and atoms, written as POSCAR:
```
CoRe4
1.0
0.473 -1.244 6.060
2.725 3.632 4.228
-4.070 0.121 -4.681
Co Re
1 4
Direct
0.000 0.000 0.000
0.750 0.250 0.500
0.388 0.388 0.000
0.612 0.612 0.000
0.250 0.750 0.500
```

Computed properties:
Energy above the most stable polymorph in this dataset ... 820 meV/atom
Formation enthalpy at 0 K ... 4.43 eV per formula unit
Theoretical density ... 15.020 Mg/m³

=====

# Co3Re

Co3Re after structural relaxation (PBE, the Alexandria database).

Cell and atoms, written as POSCAR:
```
Co3Re
1.0
-3.210 1.179 -3.362
-1.704 -1.135 4.337
4.241 2.233 -0.158
Co Re
3 1
Direct
0.000 0.000 0.000
0.000 0.500 0.500
0.500 0.500 0.000
0.500 0.000 0.500
```

Computed properties:
Formation enthalpy at 0 K ... 1.03 eV per formula unit
Theoretical density ... 12.430 Mg/m³

=====

# CoRe5

CoRe5 after structural relaxation (PBE, the Alexandria database).

Cell and atoms, written as POSCAR:
```
CoRe5
1.0
-0.176 -0.084 -6.095
-3.123 -1.576 4.995
-1.732 3.439 0.002
Co Re
1 5
Direct
0.972 0.028 0.000
0.811 0.189 0.500
0.634 0.366 0.000
0.472 0.528 0.500
0.310 0.690 0.000
0.134 0.866 0.500
```

Computed properties:
Energy above the most stable polymorph in this dataset ... 59 meV/atom
Formation enthalpy at 0 K ... 0.35 eV per formula unit
Theoretical density ... 19.149 Mg/m³

=====

# Co3Re

Co3Re after structural relaxation (PBE, the Alexandria database).

Cell and atoms, written as POSCAR:
```
Co3Re
1.0
-1.319 4.752 1.129
-4.099 -1.345 0.869
3.140 -1.936 11.814
Co Re
18 6
Direct
0.999 0.167 0.583
0.999 0.167 0.917
0.002 0.503 0.250
0.998 0.497 0.750
0.001 0.833 0.083
0.001 0.833 0.417
0.250 0.002 0.750
0.250 0.334 0.085
0.250 0.334 0.415
0.501 0.167 0.583
0.501 0.167 0.917
0.498 0.503 0.250
0.502 0.497 0.750
0.499 0.833 0.083
0.499 0.833 0.417
0.750 0.998 0.250
0.750 0.666 0.585
0.750 0.666 0.915
0.250 0.999 0.250
0.250 0.671 0.586
0.250 0.671 0.914
0.750 0.001 0.750
0.750 0.329 0.086
0.750 0.329 0.414
```

Computed properties:
Formation enthalpy at 0 K ... 0.06 eV per formula unit
Theoretical density ... 13.124 Mg/m³

=====

# Co4Re3

Co4Re3 after structural relaxation (PBE, the Alexandria database).

Cell and atoms, written as POSCAR:
```
Co4Re3
1.0
-2.559 -0.138 4.261
-1.093 -3.183 -3.661
2.937 -2.928 1.669
Co Re
4 3
Direct
0.000 0.000 0.259
0.000 0.000 0.741
0.667 0.333 0.500
0.333 0.667 0.500
0.000 0.500 0.000
0.500 0.500 0.000
0.500 0.000 0.000
```

Computed properties:
Energy above the most stable polymorph in this dataset ... 242 meV/atom
Formation enthalpy at 0 K ... 2.74 eV per formula unit
Theoretical density ... 13.780 Mg/m³

=====

# Co3Re

Co3Re after structural relaxation (PBE, the Alexandria database).

Cell and atoms, written as POSCAR:
```
Co3Re
1.0
-5.063 0.180 -0.022
-0.102 -2.468 3.256
0.113 3.519 2.671
Co Re
6 2
Direct
0.000 0.500 0.329
0.248 0.000 0.165
0.252 0.500 0.835
0.500 0.000 0.671
0.752 0.000 0.165
0.748 0.500 0.835
0.000 0.000 0.665
0.500 0.500 0.335
```

Computed properties:
Formation enthalpy at 0 K ... -0.07 eV per formula unit
Theoretical density ... 13.175 Mg/m³

=====

# Co3Re

Co3Re after structural relaxation (PBE, the Alexandria database).

Cell and atoms, written as POSCAR:
```
Co3Re
1.0
-0.464 -2.242 -1.290
1.839 1.662 -0.873
5.560 -3.764 4.543
Co Re
3 1
Direct
0.000 0.000 0.009
0.000 0.000 0.491
0.333 0.667 0.250
0.333 0.667 0.750
```

Computed properties:
Formation enthalpy at 0 K ... 0.44 eV per formula unit
Theoretical density ... 12.435 Mg/m³

=====

# Co3Re

Co3Re after structural relaxation (PBE, the Alexandria database).

Cell and atoms, written as POSCAR:
```
Co3Re
1.0
3.578 0.000 0.000
0.000 3.578 0.000
0.000 0.000 3.578
Co Re
3 1
Direct
0.000 0.000 0.000
0.000 0.500 0.500
0.500 0.000 0.500
0.500 0.500 0.000
```

Computed properties:
Formation enthalpy at 0 K ... 0.36 eV per formula unit
Theoretical density ... 13.155 Mg/m³

=====

# Co3Re

Co3Re after structural relaxation (PBE, the Alexandria database).

Cell and atoms, written as POSCAR:
```
Co3Re
1.0
-0.883 -3.353 -0.912
0.529 -1.060 3.384
-3.252 2.904 -0.481
Re Co
1 3
Direct
0.000 0.000 0.000
0.750 0.250 0.500
0.250 0.750 0.500
0.500 0.500 0.000
```

Computed properties:
Formation enthalpy at 0 K ... 0.14 eV per formula unit
Theoretical density ... 13.102 Mg/m³

=====

# CoRe2

CoRe2 after structural relaxation (PBE, the Alexandria database).

Cell and atoms, written as POSCAR:
```
CoRe2
1.0
-1.323 1.323 11.983
1.323 -1.323 11.983
1.323 1.323 -11.983
Co Re
2 4
Direct
0.000 0.000 0.000
0.750 0.250 0.500
0.325 0.825 0.500
0.175 0.675 0.500
0.575 0.575 0.000
0.425 0.425 0.000
```

Computed properties:
Energy above the most stable polymorph in this dataset ... 356 meV/atom
Formation enthalpy at 0 K ... 1.00 eV per formula unit
Theoretical density ... 17.080 Mg/m³

=====

# Co4Re5

Co4Re5 after structural relaxation (PBE, the Alexandria database).

Cell and atoms, written as POSCAR:
```
Co4Re5
1.0
7.229 0.000 0.000
3.615 6.261 0.000
0.000 0.000 5.209
Re Co
10 8
Direct
0.326 0.674 0.250
0.000 0.326 0.250
0.674 0.000 0.250
0.674 0.326 0.750
0.000 0.674 0.750
0.326 0.000 0.750
0.333 0.333 0.000
0.667 0.667 0.500
0.667 0.667 0.000
0.333 0.333 0.500
0.000 0.000 0.000
0.000 0.000 0.500
0.663 0.337 0.250
0.000 0.663 0.250
0.337 0.000 0.250
0.337 0.663 0.750
0.000 0.337 0.750
0.663 0.000 0.750
```

Computed properties:
Energy above the most stable polymorph in this dataset ... 22 meV/atom
Formation enthalpy at 0 K ... 0.93 eV per formula unit
Theoretical density ... 16.435 Mg/m³

=====

# CoRe5

CoRe5 after structural relaxation (PBE, the Alexandria database).

Cell and atoms, written as POSCAR:
```
CoRe5
1.0
7.265 0.004 0.000
-6.742 2.706 0.000
0.000 0.000 4.368
Co Re
1 5
Direct
0.003 0.997 0.000
0.223 0.777 0.500
0.336 0.664 0.000
0.552 0.448 0.500
0.661 0.339 0.000
0.892 0.108 0.500
```

Computed properties:
Energy above the most stable polymorph in this dataset ... 15 meV/atom
Formation enthalpy at 0 K ... 0.08 eV per formula unit
Theoretical density ... 19.119 Mg/m³

=====

# CoRe2

CoRe2 after structural relaxation (PBE, the Alexandria database).

Cell and atoms, written as POSCAR:
```
CoRe2
1.0
1.354 4.899 -0.005
-1.354 4.899 -0.005
0.000 1.481 6.151
Co Re
2 4
Direct
0.000 0.000 0.998
0.332 0.332 0.338
0.608 0.608 0.271
0.940 0.940 0.606
0.667 0.667 0.665
0.287 0.287 0.955
```

Computed properties:
Energy above the most stable polymorph in this dataset ... 60 meV/atom
Formation enthalpy at 0 K ... 0.11 eV per formula unit
Theoretical density ... 17.556 Mg/m³

=====

# Co5Re3

Co5Re3 after structural relaxation (PBE, the Alexandria database).

Cell and atoms, written as POSCAR:
```
Co5Re3
1.0
5.537 -0.305 0.000
-3.038 8.197 0.000
0.000 0.000 4.598
Re Co
6 10
Direct
0.050 0.451 0.750
0.950 0.549 0.250
0.387 0.996 0.750
0.394 0.453 0.250
0.613 0.004 0.250
0.606 0.547 0.750
0.961 0.262 0.250
0.039 0.738 0.750
0.169 0.067 0.250
0.166 0.208 0.750
0.408 0.725 0.000
0.408 0.725 0.500
0.592 0.275 0.000
0.592 0.275 0.500
0.831 0.933 0.750
0.834 0.792 0.250
```

Computed properties:
Energy above the most stable polymorph in this dataset ... 161 meV/atom
Formation enthalpy at 0 K ... 1.88 eV per formula unit
Theoretical density ... 13.864 Mg/m³

=====

# Co4Re3

Co4Re3 after structural relaxation (PBE, the Alexandria database).

Cell and atoms, written as POSCAR:
```
Co4Re3
1.0
-1.532 1.532 9.316
1.532 -1.532 9.316
1.532 1.532 -9.316
Co Re
4 3
Direct
0.865 0.865 0.000
0.571 0.571 0.000
0.429 0.429 0.000
0.135 0.135 0.000
0.000 0.000 0.000
0.708 0.708 0.000
0.292 0.292 0.000
```

Computed properties:
Energy above the most stable polymorph in this dataset ... 0 meV/atom
Formation enthalpy at 0 K ... 1.05 eV per formula unit
Theoretical density ... 15.083 Mg/m³

=====

# CoRe2

CoRe2 after structural relaxation (PBE, the Alexandria database).

Cell and atoms, written as POSCAR:
```
CoRe2
1.0
4.769 0.002 0.000
-2.480 4.074 0.000
-1.145 -2.038 4.157
Co Re
2 4
Direct
0.250 0.250 0.000
0.750 0.750 0.000
0.151 0.349 0.500
0.349 0.849 0.198
0.651 0.151 0.802
0.849 0.651 0.500
```

Computed properties:
Energy above the most stable polymorph in this dataset ... 23 meV/atom
Formation enthalpy at 0 K ... 0.00 eV per formula unit
Theoretical density ... 17.736 Mg/m³

=====

# CoRe2

CoRe2 after structural relaxation (PBE, the Alexandria database).

Cell and atoms, written as POSCAR:
```
CoRe2
1.0
5.705 0.000 0.000
0.000 5.705 0.000
0.000 0.000 5.705
Re Co
8 4
Direct
0.119 0.619 0.881
0.119 0.881 0.381
0.381 0.119 0.881
0.381 0.381 0.381
0.619 0.619 0.619
0.619 0.881 0.119
0.881 0.119 0.619
0.881 0.381 0.119
0.000 0.000 0.000
0.000 0.500 0.500
0.500 0.000 0.500
0.500 0.500 0.000
```

Computed properties:
Energy above the most stable polymorph in this dataset ... 1003 meV/atom
Formation enthalpy at 0 K ... 2.94 eV per formula unit
Theoretical density ... 15.426 Mg/m³